Entry 1:
Density functional theory data (GGA-PBEsol) for a geometry-optimized ScTl2Cd2 structure.

## Properties
The formation energy comes out at 0.07 eV per atom. For the density of states at the Fermi level, the calculation gives 0.56 states/eV/atom.

abc: 3.875 3.875 16.322
angles: 90.00 90.00 90.00
Space group I4/mmm (No. 139)
Inequivalent atoms, fractional coordinates:
Sc: 0.000 0.000 0.000 x2
Tl: 0.000 0.000 0.402 x4
Cd: 0.000 0.500 0.250 x4

=====

Entry 2:
Density functional theory data (GGA-PBEsol) for a geometry-optimized LiIn2Ni structure.

## Properties
The formation energy comes out at -0.09 eV per atom. For the density of states at the Fermi level, the calculation gives 0.37 states/eV/atom.

abc: 3.371 3.371 5.928
angles: 90.00 90.00 90.00
Space group P4mm (No. 99)
Inequivalent atoms, fractional coordinates:
Li: 0.000 0.000 0.000 x1
In: 0.000 0.000 0.429 x1
In: 0.500 0.500 0.770 x1
Ni: 0.500 0.500 0.229 x1

=====

Entry 3:
Density functional theory data (GGA-PBEsol) for a geometry-optimized ZrGeSeN2 structure.

## Properties
The excess energy over the best structure of this formula in the dataset comes out at 0.000 eV/atom. The calculation puts the uncorrected formation energy at 1.2 eV/f.u. For the density of states at the Fermi level, the calculation gives 0.64 states/eV/atom.

abc: 4.078 4.078 5.490
angles: 90.00 90.00 90.00
Space group P4/mmm (No. 123)
Inequivalent atoms, fractional coordinates:
Zr: 0.000 0.000 0.000 x1
Ge: 0.500 0.500 0.500 x1
Se: 0.000 0.000 0.500 x1
N: 0.000 0.500 0.000 x2

=====

In A^3/atom, the calculated volume values for the records above are, in order, 24.5; 16.8; 18.3.